First-principles (meta-GGA SCAN) data for a PBEsol-optimized structure of TaFeCo2, as listed in Alexandria via LeMat-Bulk.

Energy relative to the lowest polymorph listed for this composition: 145.9 meV/atom
Energy relative to the elements: -0.04 eV/atom
Mass density: 12.36 g/cm3
Raw total energy: -119.496 eV per cell
Size of the total moment: 3.75 μB/f.u.

Lattice parameters (Å, degrees): 3.656 3.656 4.404 114.53 114.53 90.00
Sites, in units of the cell vectors:
Fe: 0.500 0.500 0.000
Co: 0.750 0.250 0.500
Co: 0.250 0.750 0.500
Ta: 0.000 0.000 0.000